{
  "formula": "LaTb2Ho5Er",
  "functional": "PBE",
  "state": "relaxed",
  "lattice_angstrom": [[-4.4477, 4.4477, 7.4185], [4.4477, -4.4477, 7.4185], [4.4477, 4.4477, -7.4185]],
  "species": ["La", "La", "Tb", "Tb", "Tb", "Tb", "Ho", "Ho", "Ho", "Ho", "Ho", "Ho", "Ho", "Ho", "Ho", "Ho", "Er", "Er"],
  "frac_coords": [[0.2500, 0.2500, 0.0000], [0.7500, 0.7500, 0.0000], [0.1134, 0.6134, 0.7269], [0.3866, 0.1134, 0.5000], [0.6134, 0.8866, 0.5000], [0.8866, 0.3866, 0.2731], [0.0000, 0.0000, 0.0000], [0.0737, 0.1626, 0.5000], [0.1626, 0.6626, 0.0889], [0.3374, 0.4263, 0.5000], [0.4263, 0.9263, 0.0889], [0.5000, 0.5000, 0.0000], [0.5737, 0.0737, 0.9111], [0.6626, 0.5737, 0.5000], [0.8374, 0.3374, 0.9111], [0.9263, 0.8374, 0.5000], [0.2500, 0.7500, 0.5000], [0.7500, 0.2500, 0.5000]],
  "sg": "I4/mcm (140)",
  "ef_mev_per_atom": 284,
  "e_tot_ev_per_atom": -4.343
}